# 1
This record from the Alexandria database describes a relaxed structure of Ba2Li3US6. The functional is PBE.

Formation energy from raw total energies   -1.574 eV per atom

Unit cell a=7.7863 b=7.7863 c=6.4608 alpha=98.83 beta=98.83 gamma=124.57
Element x y z (fractional)
Ba1 0.1754 0.8246 0.0000
Ba2 0.8246 0.1754 0.0000
Li1 0.0000 0.0000 0.5000
Li2 0.3951 0.6049 0.5000
Li3 0.6049 0.3951 0.5000
U1 0.5000 0.5000 0.0000
S1 0.1525 0.4230 0.7381
S2 0.2618 0.2618 0.2324
S3 0.4230 0.1525 0.7381
S4 0.5770 0.8475 0.2619
S5 0.7382 0.7382 0.7676
S6 0.8475 0.5770 0.2619



# 2
This record from the Alexandria database describes a relaxed structure of Mg2SnH. The functional is PBE.

Offset from the most stable computed form   58 meV/atom

Unit cell a=5.3621 b=5.3621 c=11.1263 alpha=90.00 beta=90.00 gamma=90.00
Element x y z (fractional)
Mg1 0.0841 0.2500 0.1250
Mg2 0.2500 0.5841 0.3750
Mg3 0.2500 0.9159 0.8750
Mg4 0.4159 0.2500 0.6250
Mg5 0.5841 0.7500 0.6250
Mg6 0.7500 0.0841 0.8750
Mg7 0.7500 0.4159 0.3750
Mg8 0.9159 0.7500 0.1250
Sn1 0.0000 0.0000 0.5000
Sn2 0.0000 0.5000 0.7500
Sn3 0.5000 0.0000 0.2500
Sn4 0.5000 0.5000 0.0000
H1 0.0000 0.0000 0.0000
H2 0.0000 0.5000 0.2500
H3 0.5000 0.0000 0.7500
H4 0.5000 0.5000 0.5000



# 3
This record from the Alexandria database describes a relaxed structure of LaTcCl2. The functional is PBE.

Offset from the most stable computed form   308 meV/atom
Formation energy from raw total energies   -0.452 eV per atom

Unit cell a=4.6044 b=4.6044 c=17.0786 alpha=90.00 beta=90.00 gamma=90.00
Element x y z (fractional)
La1 0.0000 0.0000 0.0000
La2 0.0000 0.5000 0.2500
La3 0.5000 0.0000 0.7500
La4 0.5000 0.5000 0.5000
Tc1 0.0000 0.0000 0.5000
Tc2 0.0000 0.5000 0.7500
Tc3 0.5000 0.0000 0.2500
Tc4 0.5000 0.5000 0.0000
Cl1 0.1997 0.2500 0.6250
Cl2 0.2500 0.6997 0.8750
Cl3 0.2500 0.8003 0.3750
Cl4 0.3003 0.2500 0.1250
Cl5 0.6997 0.7500 0.1250
Cl6 0.7500 0.1997 0.3750
Cl7 0.7500 0.3003 0.8750
Cl8 0.8003 0.7500 0.6250



# 4
This record from the Alexandria database describes a relaxed structure of YGa3FeCo. The functional is PBE.

ΔH_f (0 K)   -103 kJ/mol of formula units

Unit cell a=6.3222 b=6.3222 c=5.5522 alpha=90.00 beta=90.00 gamma=106.74
Element x y z (fractional)
Y1 0.2122 0.7878 0.7500
Y2 0.7878 0.2122 0.2500
Ga1 0.2439 0.2439 0.0000
Ga2 0.2439 0.2439 0.5000
Ga3 0.2987 0.7013 0.2500
Ga4 0.7013 0.2987 0.7500
Ga5 0.7561 0.7561 0.0000
Ga6 0.7561 0.7561 0.5000
Fe1 0.0719 0.9281 0.2500
Fe2 0.9281 0.0719 0.7500
Co1 0.4759 0.5241 0.7500
Co2 0.5241 0.4759 0.2500



# 5
This record from the Alexandria database describes a relaxed structure of La4Ni3P4. The functional is PBE.

ΔH_f (0 K)   -1125 kJ/mol of formula units

Unit cell a=6.1889 b=6.1889 c=6.1889 alpha=90.71 beta=90.71 gamma=90.71
Element x y z (fractional)
La1 0.0000 0.0000 0.0000
La2 0.0564 0.4474 0.5534
La3 0.4474 0.5534 0.0564
La4 0.5534 0.0564 0.4474
Ni1 0.3210 0.8204 0.6854
Ni2 0.6854 0.3210 0.8204
Ni3 0.8204 0.6854 0.3210
P1 0.0299 0.9548 0.4960
P2 0.4960 0.0299 0.9548
P3 0.5405 0.5405 0.5405
P4 0.9548 0.4960 0.0299



# 6
This record from the Alexandria database describes a relaxed structure of YTm4In2. The functional is PBE.

Offset from the most stable computed form   168 meV/atom
ΔH_f (0 K)   48 kJ/mol of formula units

Unit cell a=10.7251 b=10.7251 c=10.7251 alpha=27.23 beta=27.23 gamma=27.23
Element x y z (fractional)
Y1 0.0000 0.0000 0.0000
Tm1 0.2021 0.2021 0.2021
Tm2 0.3941 0.3941 0.3941
Tm3 0.6059 0.6059 0.6059
Tm4 0.7979 0.7979 0.7979
In1 0.1003 0.1003 0.1003
In2 0.8997 0.8997 0.8997